No. 1
! SrCa2Ge GGA-PBE relaxed; values from VASP
! Formation enthalpy at 0 K (kcal/mol of atoms): -6.53
! N(E_F) (states/eV per cell): 1.8
&SYSTEM
  ibrav = 0, nat = 4, ntyp = 3
/
ATOMIC_SPECIES
Sr 87.62 Sr.upf
Ca 40.08 Ca.upf
Ge 72.64 Ge.upf
CELL_PARAMETERS angstrom
2.477 1.430 7.220
-2.477 1.430 7.220
0.000 -2.860 7.220
ATOMIC_POSITIONS angstrom
Sr 0.000 0.000 0.000
Ca 0.000 0.000 4.743
Ca 0.000 0.000 9.861
Ge 0.000 0.000 18.196

No. 2
! SrCaZnGe GGA-PBE relaxed; values from VASP
! Formation enthalpy at 0 K (kcal/mol of atoms): -9.85
! N(E_F) (states/eV per cell): 1.3
&SYSTEM
  ibrav = 0, nat = 4, ntyp = 4
/
ATOMIC_SPECIES
Sr 87.62 Sr.upf
Ca 40.08 Ca.upf
Zn 65.41 Zn.upf
Ge 72.64 Ge.upf
CELL_PARAMETERS angstrom
0.000 3.766 3.766
3.766 0.000 3.766
3.766 3.766 0.000
ATOMIC_POSITIONS angstrom
Sr 0.000 0.000 0.000
Ca 3.766 3.766 3.766
Zn 1.883 1.883 1.883
Ge 5.649 5.649 5.649